No. 1
Here is a relaxed structure of Ba2Os3WO12 from the Alexandria database. Energies are from PBE+U.

Calculated values
The electronic total energy is -7.383 eV per atom. The total moment is 2.9 μB per formula unit. Its crystal system is trigonal.

POSCAR file:
```
Ba2Os3WO12
1.0
3.5751 2.0641 6.0511
-3.5751 2.0641 6.0511
0.0000 -4.1282 6.0511
Ba Os W O
2 3 1 12
Cartesian
0.0000 0.0000 2.0893
0.0000 0.0000 16.0641
-1.7876 -1.0320 6.0511
-1.7876 1.0320 12.1023
0.0000 2.0641 6.0511
0.0000 0.0000 9.0767
-1.4202 -0.8199 8.0203
0.0000 -1.6591 5.6687
-1.4368 0.8296 5.6687
-1.4368 -0.8296 12.4847
0.0000 -1.6399 10.1331
-1.4202 0.8199 10.1331
1.4202 -0.8200 8.0203
0.0000 1.6399 8.0203
1.4368 0.8296 5.6687
1.4369 -0.8296 12.4847
0.0000 1.6591 12.4847
1.4202 0.8200 10.1331
```

---

No. 2
Here is a relaxed structure of BaOsWO2 from the Alexandria database. Energies are from PBE+U.

Calculated values
The electronic total energy is -5.852 eV per atom. The total moment is 1.6 μB per formula unit. Its crystal system is tetragonal.

POSCAR file:
```
BaOsWO2
1.0
3.9454 0.0000 0.0000
0.0000 3.9454 0.0000
0.0000 0.0000 7.7845
Ba Os W O
1 1 1 2
Cartesian
0.0000 0.0000 0.0000
1.9727 1.9727 0.0000
0.0000 0.0000 3.8923
0.0000 1.9727 3.8923
1.9727 0.0000 3.8923
```